Record 1
# Ba9In4 PBEsol relaxed
# Fermi-level density of states, states/eV/cell: 40.98
# Electronic total energy, eV per atom: -2.705
data_Ba9In4
_space_group_name_H-M_alt 'I 4/m'
_space_group_IT_number 87
_space_group_name_Hall '-I 4'
_cell_length_a 13.777
_cell_length_b 13.777
_cell_length_c 5.877
_cell_angle_alpha 90.00
_cell_angle_beta 90.00
_cell_angle_gamma 90.00
loop_
_atom_site_label
_atom_site_fract_x
_atom_site_fract_y
_atom_site_fract_z
Ba1 0.000 0.000 0.000
Ba2 0.108 0.813 0.500
Ba3 0.115 0.628 0.000
In1 0.101 0.237 0.000

Record 2
# SrLi3Ag PBEsol relaxed
# Fermi-level density of states, states/eV/cell: 2.73
# Electronic total energy, eV per atom: -2.206
data_SrLi3Ag
_space_group_name_H-M_alt 'P m -3 m'
_space_group_IT_number 221
_space_group_name_Hall '-P 4 2 3'
_cell_length_a 5.050
_cell_length_b 5.050
_cell_length_c 5.050
_cell_angle_alpha 90.00
_cell_angle_beta 90.00
_cell_angle_gamma 90.00
loop_
_atom_site_label
_atom_site_fract_x
_atom_site_fract_y
_atom_site_fract_z
Sr1 0.000 0.000 0.000
Li1 0.000 0.500 0.500
Ag1 0.500 0.500 0.500

Record 3
# SmSnPt PBEsol relaxed
# Fermi-level density of states, states/eV/cell: 2.99
# Electronic total energy, eV per atom: -6.534
data_SmSnPt
_space_group_name_H-M_alt 'P -6 2 m'
_space_group_IT_number 189
_space_group_name_Hall 'P -6 -2'
_cell_length_a 7.4790
_cell_length_b 7.4790
_cell_length_c 4.0397
_cell_angle_alpha 90.00
_cell_angle_beta 90.00
_cell_angle_gamma 120.00
loop_
_atom_site_label
_atom_site_fract_x
_atom_site_fract_y
_atom_site_fract_z
Sm1 0.0000 0.4084 0.0000
Sn1 0.0000 0.7440 0.5000
Pt1 0.0000 0.0000 0.0000
Pt2 0.3333 0.6667 0.5000